Record 1
Below is a geometry-optimized CeMg8Cd6 structure, with properties calculated at the GGA-PBE level.

Calculated values
The spin magnetization is 2.851 μB per cell. The uncorrected energy comes out at -1.629 eV/atom. Its energy relative to the elements is -0.26 eV/f.u.

The structure in CIF format:
```
data_CeMg8Cd6
_cell_length_a 8.8937
_cell_length_b 8.8937
_cell_length_c 15.9725
_cell_angle_alpha 90.00
_cell_angle_beta 90.00
_cell_angle_gamma 120.00
_space_group_name_H-M_alt 'R -3'
_space_group_IT_number 148
_space_group_name_Hall '-R 3'
loop_
_atom_site_label
_atom_site_fract_x
_atom_site_fract_y
_atom_site_fract_z
Ce1 0.0000 0.0000 0.0000
Mg1 0.0000 0.0000 0.4046
Mg2 0.0276 0.8012 0.1867
Cd1 0.0051 0.7025 0.6902
```

Record 2
Below is a geometry-optimized CeMgCd3 structure, with properties calculated at the GGA-PBE level.

Calculated values
The spin magnetization is 2.488 μB per cell. The uncorrected energy comes out at -2.185 eV/atom. Its energy relative to the elements is -0.65 eV/f.u.

The structure in CIF format:
```
data_CeMgCd3
_cell_length_a 6.1782
_cell_length_b 6.0387
_cell_length_c 6.5594
_cell_angle_alpha 90.00
_cell_angle_beta 91.24
_cell_angle_gamma 90.00
_space_group_name_H-M_alt 'P 1 21/m 1'
_space_group_IT_number 11
loop_
_space_group_symop_operation_xyz
'x,y,z'
'-x,-y,-z'
'-x,y+1/2,-z'
'x,-y+1/2,z'
loop_
_atom_site_label
_atom_site_fract_x
_atom_site_fract_y
_atom_site_fract_z
Ce1 0.1522 0.2500 0.1465
Mg1 0.0645 0.7500 0.3777
Cd1 0.3427 0.0035 0.6638
Cd2 0.3563 0.7500 0.0489
```

Record 3
Below is a geometry-optimized Ce3Mg4Cd4 structure, with properties calculated at the GGA-PBE level.

Calculated values
The spin magnetization is 5.773 μB per cell. The uncorrected energy comes out at -2.619 eV/atom. Its energy relative to the elements is -0.97 eV/f.u.

The structure in CIF format:
```
data_Ce3Mg4Cd4
_cell_length_a 9.3243
_cell_length_b 5.0666
_cell_length_c 11.6157
_cell_angle_alpha 90.00
_cell_angle_beta 90.00
_cell_angle_gamma 90.00
_space_group_name_H-M_alt 'A m m 2'
_space_group_IT_number 38
loop_
_space_group_symop_operation_xyz
'x,y,z'
'-x,-y,z'
'-x,y,z'
'x,-y,z'
'x,y+1/2,z+1/2'
'-x,-y+1/2,z+1/2'
'-x,y+1/2,z+1/2'
'x,-y+1/2,z+1/2'
loop_
_atom_site_label
_atom_site_fract_x
_atom_site_fract_y
_atom_site_fract_z
Ce1 0.0000 0.0000 0.0000
Ce2 0.2511 0.0000 0.1386
Mg1 0.0000 0.0000 0.3172
Mg2 0.2936 0.0000 0.8353
Mg3 0.5000 0.0000 0.3529
Cd1 0.0000 0.0000 0.6843
Cd2 0.2356 0.0000 0.4711
Cd3 0.5000 0.0000 0.6359
```

Record 4
Below is a geometry-optimized Ce2Mg6Cd3 structure, with properties calculated at the GGA-PBE level.

Calculated values
The spin magnetization is 2.304 μB per cell. The uncorrected energy comes out at -2.224 eV/atom. Its energy relative to the elements is -0.28 eV/f.u.

The structure in CIF format:
```
data_Ce2Mg6Cd3
_cell_length_a 8.5173
_cell_length_b 8.5173
_cell_length_c 4.5424
_cell_angle_alpha 90.00
_cell_angle_beta 90.00
_cell_angle_gamma 120.00
_space_group_name_H-M_alt 'P -6 2 m'
_space_group_IT_number 189
_space_group_name_Hall 'P -6 -2'
loop_
_atom_site_label
_atom_site_fract_x
_atom_site_fract_y
_atom_site_fract_z
Ce1 0.3333 0.6667 0.0000
Mg1 0.0000 0.2040 0.0000
Mg2 0.0000 0.7242 0.5000
Cd1 0.0000 0.3997 0.5000
```

Record 5
Below is a geometry-optimized Ce2Mg5Cd3 structure, with properties calculated at the GGA-PBE level.

Calculated values
The spin magnetization is 10.458 μB per cell. The uncorrected energy comes out at -2.300 eV/atom. Its energy relative to the elements is -0.41 eV/f.u.

The structure in CIF format:
```
data_Ce2Mg5Cd3
_cell_length_a 12.5978
_cell_length_b 12.9371
_cell_length_c 6.3265
_cell_angle_alpha 90.00
_cell_angle_beta 90.00
_cell_angle_gamma 90.00
_space_group_name_H-M_alt 'I b a m'
_space_group_IT_number 72
_space_group_name_Hall '-I 2 2c'
loop_
_atom_site_label
_atom_site_fract_x
_atom_site_fract_y
_atom_site_fract_z
Ce1 0.1304 0.2443 0.0000
Mg1 0.0000 0.0000 0.2500
Mg2 0.1146 0.3553 0.5000
Mg3 0.2488 0.5000 0.2500
Cd1 0.0000 0.5000 0.2500
Cd2 0.1258 0.1433 0.5000
```

Record 6
Below is a geometry-optimized CeMg6Cd6 structure, with properties calculated at the GGA-PBE level.

Calculated values
The spin magnetization is 2.104 μB per cell. The uncorrected energy comes out at -1.740 eV/atom. Its energy relative to the elements is -1.63 eV/f.u.

The structure in CIF format:
```
data_CeMg6Cd6
_cell_length_a 6.0025
_cell_length_b 9.8277
_cell_length_c 10.0539
_cell_angle_alpha 90.00
_cell_angle_beta 90.00
_cell_angle_gamma 90.00
_space_group_name_H-M_alt 'I m m m'
_space_group_IT_number 71
_space_group_name_Hall '-I 2 2'
loop_
_atom_site_label
_atom_site_fract_x
_atom_site_fract_y
_atom_site_fract_z
Ce1 0.0000 0.0000 0.0000
Mg1 0.0000 0.2788 0.5000
Mg2 0.2500 0.2500 0.2500
Cd1 0.0000 0.0000 0.3488
Cd2 0.0000 0.3460 0.0000
Cd3 0.0000 0.5000 0.2958
```

Record 7
Below is a geometry-optimized CeMg6Cd12 structure, with properties calculated at the GGA-PBE level.

Calculated values
The spin magnetization is 3.984 μB per cell. The uncorrected energy comes out at -1.376 eV/atom. Its energy relative to the elements is 0.34 eV/f.u.

The structure in CIF format:
```
data_CeMg6Cd12
_cell_length_a 12.7731
_cell_length_b 12.7731
_cell_length_c 9.8896
_cell_angle_alpha 90.00
_cell_angle_beta 90.00
_cell_angle_gamma 120.00
_space_group_name_H-M_alt 'R -3 m'
_space_group_IT_number 166
_space_group_name_Hall '-R 3 2"'
loop_
_atom_site_label
_atom_site_fract_x
_atom_site_fract_y
_atom_site_fract_z
Ce1 0.0000 0.0000 0.0000
Mg1 0.0618 0.5309 0.2324
Cd1 0.0000 0.3890 0.5000
Cd2 0.0821 0.1643 0.2850
```

Record 8
Below is a geometry-optimized CeMgCd17 structure, with properties calculated at the GGA-PBE level.

Calculated values
The spin magnetization is 3.542 μB per cell. The uncorrected energy comes out at -1.254 eV/atom. Its energy relative to the elements is -0.73 eV/f.u.

The structure in CIF format:
```
data_CeMgCd17
_cell_length_a 10.0162
_cell_length_b 10.0162
_cell_length_c 15.2903
_cell_angle_alpha 90.00
_cell_angle_beta 90.00
_cell_angle_gamma 120.00
_space_group_name_H-M_alt 'R 3 m'
_space_group_IT_number 160
_space_group_name_Hall 'R 3 -2"'
loop_
_atom_site_label
_atom_site_fract_x
_atom_site_fract_y
_atom_site_fract_z
Ce1 0.0000 0.0000 0.0000
Mg1 0.0000 0.0000 0.3482
Cd1 0.0000 0.0000 0.5577
Cd2 0.0000 0.0000 0.7498
Cd3 0.0331 0.3633 0.3317
Cd4 0.1805 0.3611 0.1371
Cd5 0.1891 0.3782 0.5078
Cd6 0.2089 0.4177 0.8536
```

Which value of uncorrected energy does entry 8 give?
-1.254 eV/atom